Here is a relaxed YHgPb2 crystal from the Alexandria database. Energies are from PBE-GGA.

Computed properties:
* N(E_F): 2.8 states/eV per cell
* E: -3.618 eV per atom

Cell: 5.4480 5.4480 5.4480 Å, 60.00 60.00 60.00°
With the nearest neighbours (Å) after each atom.
Atoms (fractional coordinates):
Pb  0.2500  0.2500  0.2500  4 Hg 3.34, 4 Y 3.34
Pb  0.7500  0.7500  0.7500  4 Hg 3.34, 4 Y 3.34
Y  0.0000  0.0000  0.0000  8 Pb 3.34
Hg  0.5000  0.5000  0.5000  8 Pb 3.34

Here is a relaxed LiInGa2F8 crystal from the Alexandria database. Energies are from PBE-GGA.

Computed properties:
* ΔE_f (raw): -2478 meV/atom
* N(E_F): 0.0 states/eV per cell
* E: -4.618 eV per atom

Cell: 5.4130 5.4130 7.6302 Å, 90.00 90.00 120.00°
With the nearest neighbours (Å) after each atom.
Atoms (fractional coordinates):
Li  0.0000  0.0000  0.5000  6 F 2.04
In  0.0000  0.0000  0.0000  12 F 3.07-3.14
Ga  0.6667  0.3333  0.2755  4 F 1.80-1.81
Ga  0.3333  0.6667  0.7245  4 F 1.80-1.81
F  0.3333  0.6667  0.9618  1 Ga 1.81
F  0.3225  0.2756  0.3404  1 Ga 1.80
F  0.7244  0.0469  0.3404  1 Ga 1.80
F  0.6667  0.3333  0.0382  1 Ga 1.81
F  0.2756  0.9531  0.6596  1 Ga 1.80
F  0.6775  0.7244  0.6596  1 Ga 1.80
F  0.0469  0.3225  0.6596  1 Ga 1.80
F  0.9531  0.6775  0.3404  1 Ga 1.80

Here is a relaxed La2MoRu crystal from the Alexandria database. Energies are from PBE-GGA.

Computed properties:
* N(E_F): 2.8 states/eV per cell
* offset from the most stable computed form: 0.2254 eV per atom
* E: -7.204 eV per atom

Cell: 3.5689 4.0867 7.0395 Å, 90.00 90.00 90.00°
With the nearest neighbours (Å) after each atom.
Atoms (fractional coordinates):
La  0.0000  0.0000  0.9133  1 Mo 2.42
La  0.5000  0.5000  0.3356  1 Ru 2.44
Mo  0.0000  0.0000  0.5691  1 La 2.42
Ru  0.5000  0.5000  0.6821  1 La 2.44

Here is a relaxed KRb4Sr crystal from the Alexandria database. Energies are from PBE-GGA.

Computed properties:
* N(E_F): 6.3 states/eV per cell
* E: -0.965 eV per atom

Cell: 8.8471 8.8471 8.8471 Å, 60.00 60.00 60.00°
With the nearest neighbours (Å) after each atom.
Atoms (fractional coordinates):
Sr  0.2500  0.2500  0.2500  12 Rb 5.19, 4 K 5.42
K  0.0000  0.0000  0.0000  12 Rb 5.19, 4 Sr 5.42
Rb  0.6247  0.6247  0.1260  6 Rb 4.41-4.44
Rb  0.6247  0.1260  0.6247  6 Rb 4.41-4.44
Rb  0.6247  0.6247  0.6247  6 Rb 4.41-4.44
Rb  0.1260  0.6247  0.6247  6 Rb 4.41-4.44

Here is a relaxed Nd3TlNi crystal from the Alexandria database. Energies are from PBE-GGA.

Computed properties:
* N(E_F): 8.1 states/eV per cell
* offset from the most stable computed form: 0.1104 eV per atom
* E: -4.617 eV per atom

Cell: 5.3698 5.3698 5.3698 Å, 90.00 90.00 90.00°
With the nearest neighbours (Å) after each atom.
Atoms (fractional coordinates):
Ni  0.0000  0.0000  0.0000  6 Nd 2.68
Tl  0.5000  0.5000  0.5000  12 Nd 3.80
Nd  0.0000  0.5000  0.0000  2 Ni 2.68
Nd  0.0000  0.0000  0.5000  2 Ni 2.68
Nd  0.5000  0.0000  0.0000  2 Ni 2.68

Here is a relaxed Y2SnBi crystal from the Alexandria database. Energies are from PBE-GGA.

Computed properties:
* N(E_F): 5.2 states/eV per cell
* offset from the most stable computed form: 0.2897 eV per atom
* E: -5.727 eV per atom

Cell: 8.3332 8.3332 6.8559 Å, 52.57 52.57 90.00°
With the nearest neighbours (Å) after each atom.
Atoms (fractional coordinates):
Y  0.6212  0.1250  0.2500  2 Sn 3.05, 2 Bi 3.10
Y  0.1288  0.6250  0.2500  2 Sn 3.05, 2 Bi 3.10
Y  0.3750  0.3788  0.7500  2 Sn 3.05, 2 Bi 3.10
Y  0.8750  0.8712  0.7500  2 Sn 3.05, 2 Bi 3.10
Bi  0.0000  0.0000  0.0000  4 Y 3.10
Bi  0.7500  0.2500  0.5000  4 Y 3.10
Sn  0.5000  0.5000  0.0000  4 Y 3.05
Sn  0.2500  0.7500  0.5000  4 Y 3.05

Here is a relaxed LiMnCd2Ir crystal from the Alexandria database. Energies are from PBE-GGA.

Computed properties:
* N(E_F): 5.2 states/eV per cell
* E: -3.121 eV per atom

Cell: 4.9153 4.2945 4.9153 Å, 90.00 90.00 90.00°
With the nearest neighbours (Å) after each atom.
Atoms (fractional coordinates):
Ir  0.5000  0.5000  0.5000  8 Cd 3.26, 4 Li 3.48
Li  0.0000  0.5000  0.0000  2 Mn 2.15
Mn  0.0000  0.0000  0.0000  2 Li 2.15
Cd  0.0000  0.0000  0.5000  2 Mn 2.46
Cd  0.5000  0.0000  0.0000  2 Mn 2.46

Here is a relaxed CrNi2PdSe6 crystal from the Alexandria database. Energies are from PBE-GGA.

Computed properties:
* ΔE_f (raw): -260 meV/atom
* N(E_F): 14.3 states/eV per cell
* E: -4.989 eV per atom

Cell: 6.3137 8.1142 8.1142 Å, 85.01 80.60 80.60°
With the nearest neighbours (Å) after each atom.
Atoms (fractional coordinates):
Cr  0.2500  0.9077  0.0923  6 Se 2.44-2.57
Cr  0.7500  0.0923  0.9077  6 Se 2.44-2.57
Ni  0.1868  0.7750  0.5952  4 Se 2.24-2.34
Ni  0.3132  0.4048  0.2250  4 Se 2.24-2.34
Ni  0.8132  0.2250  0.4048  4 Se 2.24-2.34
Ni  0.6868  0.5952  0.7750  4 Se 2.24-2.34
Pd  0.2500  0.2598  0.7402  6 Se 2.57-2.59
Pd  0.7500  0.7402  0.2598  6 Se 2.57-2.59
Se  0.1316  0.9670  0.8021  1 Ni 2.34, 2 Cr 2.50-2.57, 1 Pd 2.59
Se  0.3684  0.1979  0.0330  1 Ni 2.34, 2 Cr 2.50-2.57, 1 Pd 2.59
Se  0.8684  0.0330  0.1979  1 Ni 2.34, 2 Cr 2.50-2.57, 1 Pd 2.59
Se  0.6316  0.8021  0.9670  1 Ni 2.34, 2 Cr 2.50-2.57, 1 Pd 2.59
Se  0.3728  0.9002  0.3636  1 Ni 2.30, 1 Cr 2.44, 1 Pd 2.57
Se  0.1272  0.6364  0.0998  1 Ni 2.30, 1 Cr 2.44, 1 Pd 2.57
Se  0.6272  0.0998  0.6364  1 Ni 2.30, 1 Cr 2.44, 1 Pd 2.57
Se  0.8728  0.3636  0.9002  1 Ni 2.30, 1 Cr 2.44, 1 Pd 2.57
Se  0.9027  0.6705  0.5363  2 Ni 2.24-2.28
Se  0.5973  0.4637  0.3295  2 Ni 2.24-2.28
Se  0.0973  0.3295  0.4637  2 Ni 2.24-2.28
Se  0.4027  0.5363  0.6705  2 Ni 2.24-2.28

Here is a relaxed LiCa2AlHg6 crystal from the Alexandria database. Energies are from PBE-GGA.

Computed properties:
* N(E_F): 3.1 states/eV per cell
* E: -1.392 eV per atom

Cell: 6.4932 8.1400 8.1460 Å, 59.76 50.98 89.59°
With the nearest neighbours (Å) after each atom.
Atoms (fractional coordinates):
Li  0.5000  0.5000  0.0000  6 Hg 2.67-2.73
Ca  0.2506  0.7399  0.5119  9 Hg 3.20-3.42, 1 Al 3.35, 1 Li 3.36
Ca  0.7494  0.2601  0.4881  9 Hg 3.20-3.42, 1 Al 3.35, 1 Li 3.36
Al  0.0000  0.0000  0.0000  6 Hg 2.76-2.79
Hg  0.2714  0.7576  0.8850  1 Li 2.68, 1 Al 2.76
Hg  0.7332  0.8541  0.9015  1 Li 2.73, 1 Al 2.79
Hg  0.2488  0.3557  0.4913  1 Li 2.67, 1 Al 2.78
Hg  0.7286  0.2424  0.1150  1 Li 2.68, 1 Al 2.76
Hg  0.2668  0.1459  0.0985  1 Li 2.73, 1 Al 2.79
Hg  0.7512  0.6443  0.5087  1 Li 2.67, 1 Al 2.78

Here is a relaxed CsAl2Os2 crystal from the Alexandria database. Energies are from PBE-GGA.

Computed properties:
* N(E_F): 6.5 states/eV per cell
* offset from the most stable computed form: 0.0000 eV per atom
* E: -5.595 eV per atom

Cell: 8.0612 8.0612 2.8637 Å, 90.00 90.00 90.00°
With the nearest neighbours (Å) after each atom.
Atoms (fractional coordinates):
Cs  0.0000  0.0000  0.0000  2 Cs 2.86, 4 Os 3.12
Cs  0.5000  0.5000  0.0000  2 Cs 2.86, 4 Os 3.12
Os  0.3612  0.8612  0.0000  6 Al 2.67-2.90, 2 Os 2.86
Os  0.8612  0.6388  0.0000  6 Al 2.67-2.90, 2 Os 2.86
Os  0.6388  0.1388  0.0000  6 Al 2.67-2.90, 2 Os 2.86
Os  0.1388  0.3612  0.0000  6 Al 2.67-2.90, 2 Os 2.86
Al  0.1401  0.6401  0.5000  6 Os 2.67-2.90, 2 Al 2.86
Al  0.6401  0.8599  0.5000  6 Os 2.67-2.90, 2 Al 2.86
Al  0.8599  0.3599  0.5000  6 Os 2.67-2.90, 2 Al 2.86
Al  0.3599  0.1401  0.5000  6 Os 2.67-2.90, 2 Al 2.86

Here is a relaxed NaSrHo2Te4 crystal from the Alexandria database. Energies are from PBE-GGA.

Computed properties:
* ΔE_f (raw): -1329 meV/atom
* N(E_F): 2.6 states/eV per cell
* E: -4.419 eV per atom

Cell: 6.3345 6.3345 7.7049 Å, 114.26 114.26 90.02°
With the nearest neighbours (Å) after each atom.
Atoms (fractional coordinates):
Na  0.4370  0.4370  0.0000  6 Te 3.06-3.17
Sr  0.9372  0.9372  0.0000  6 Te 3.17-3.21
Ho  0.1871  0.6871  0.5000  6 Te 3.13-3.17
Ho  0.6871  0.1871  0.5000  6 Te 3.13-3.17
Te  0.9372  0.4372  0.0000  2 Ho 3.13, 2 Na 3.17, 2 Sr 3.17
Te  0.4372  0.9372  0.0000  2 Ho 3.13, 2 Na 3.17, 2 Sr 3.17
Te  0.1933  0.1933  0.5122  1 Na 3.06, 4 Ho 3.17, 1 Sr 3.21
Te  0.6811  0.6811  0.4878  1 Na 3.06, 4 Ho 3.17, 1 Sr 3.21

Here is a relaxed Ba8AsPd3I3 crystal from the Alexandria database. Energies are from PBE-GGA.

Computed properties:
* ΔE_f (raw): -954 meV/atom
* N(E_F): 9.5 states/eV per cell
* E: -3.638 eV per atom

Cell: 9.5065 9.5075 10.1137 Å, 118.06 90.00 119.98°
With the nearest neighbours (Å) after each atom.
Atoms (fractional coordinates):
Ba  0.2630  0.5259  0.2892  3 Pd 3.28
Ba  0.7370  0.4741  0.7108  3 Pd 3.28
Ba  0.7642  0.5284  0.2978  2 Pd 3.23, 1 As 3.26
Ba  0.2358  0.4716  0.7022  2 Pd 3.23, 1 As 3.26
Ba  0.7642  0.0334  0.2979  2 Pd 3.22-3.23, 1 As 3.26
Ba  0.2358  0.9666  0.7021  2 Pd 3.22-3.23, 1 As 3.26
Ba  0.2692  0.0335  0.2979  2 Pd 3.23, 1 As 3.26
Ba  0.7308  0.9665  0.7021  2 Pd 3.23, 1 As 3.26
As  0.0000  0.0000  0.5000  6 Ba 3.26
Pd  0.5000  0.0000  0.5000  6 Ba 3.22-3.28
Pd  0.5000  0.5000  0.5000  6 Ba 3.23-3.28
Pd  0.0000  0.5000  0.5000  6 Ba 3.23-3.28
I  0.0000  0.0000  0.0000  6 Ba 3.68-3.74
I  0.0000  0.5000  0.0000  6 Ba 3.68-3.74
I  0.5000  0.5000  0.0000  6 Ba 3.68-3.74